Computed, not measured: a geometry-optimized Sc2BiIr2 structure at the PBE level of DFT.

a = 8.001 Å, b = 8.001 Å, c = 3.092 Å
α = 90.00°, β = 90.00°, γ = 90.00°
Positions (direct):
Sc1 0.143 0.357 0.000
Sc2 0.357 0.857 0.000
Sc3 0.643 0.143 0.000
Sc4 0.857 0.643 0.000
Bi1 0.000 0.000 0.000
Bi2 0.500 0.500 0.000
Ir1 0.143 0.643 0.500
Ir2 0.357 0.143 0.500
Ir3 0.643 0.857 0.500
Ir4 0.857 0.357 0.500

Calculated values
**Fermi-level density of states**: 8.71 states/eV/cell
**Magnetization**: 0.0 μB per cell
**Formation energy**: -0.451 eV per atom
**Raw total energy**: -7.304 eV per atom

---

Computed, not measured: a geometry-optimized Sc4BiIr structure at the PBE level of DFT.

a = 4.646 Å, b = 8.007 Å, c = 8.023 Å
α = 101.94°, β = 90.05°, γ = 106.83°
Positions (direct):
Sc1 0.038 0.076 0.347
Sc2 0.178 0.355 0.117
Sc3 0.327 0.653 0.504
Sc4 0.437 0.874 0.138
Sc5 0.563 0.126 0.862
Sc6 0.673 0.347 0.496
Sc7 0.822 0.645 0.883
Sc8 0.962 0.924 0.653
Bi1 0.200 0.400 0.756
Bi2 0.800 0.600 0.244
Ir1 0.000 0.000 0.000
Ir2 0.500 0.000 0.500

Calculated values
**Fermi-level density of states**: 10.51 states/eV/cell
**Magnetization**: 0.0 μB per cell
**Formation energy**: -0.536 eV per atom
**Raw total energy**: -6.881 eV per atom

---

Computed, not measured: a geometry-optimized Sc2BiIr2 structure at the PBE level of DFT.

a = 7.775 Å, b = 7.775 Å, c = 3.205 Å
α = 90.00°, β = 90.00°, γ = 90.00°
Positions (direct):
Sc1 0.156 0.344 0.000
Sc2 0.344 0.844 0.000
Sc3 0.656 0.156 0.000
Sc4 0.844 0.656 0.000
Bi1 0.000 0.000 0.500
Bi2 0.500 0.500 0.500
Ir1 0.135 0.635 0.500
Ir2 0.365 0.135 0.500
Ir3 0.635 0.865 0.500
Ir4 0.865 0.365 0.500

Calculated values
**Fermi-level density of states**: 5.09 states/eV/cell
**Magnetization**: 0.0 μB per cell
**Formation energy**: -0.636 eV per atom
**Raw total energy**: -7.489 eV per atom

---

Computed, not measured: a geometry-optimized Sc2BiIr structure at the PBE level of DFT.

a = 9.222 Å, b = 9.222 Å, c = 9.222 Å
α = 23.42°, β = 23.42°, γ = 23.42°
Positions (direct):
Sc1 0.113 0.113 0.113
Sc2 0.887 0.887 0.887
Bi1 0.000 0.000 0.000
Ir1 0.500 0.500 0.500

Calculated values
**Fermi-level density of states**: 2.20 states/eV/cell
**Magnetization**: 0.0 μB per cell
**Formation energy**: -0.373 eV per atom
**Raw total energy**: -6.724 eV per atom